[1]
Below is a relaxed Mn2NiAu crystal, with properties calculated at the GGA-PBEsol level.

```
Mn2NiAu
1.0
-1.9220 1.9220 3.6653
1.9220 -1.9220 3.6653
1.9220 1.9220 -3.6653
Mn Ni Au
2 1 1
Direct
0.2500 0.7500 0.5000
0.7500 0.2500 0.5000
0.0000 0.0000 0.0000
0.5000 0.5000 0.0000
```

Formation enthalpy at 0 K = 0.148 eV per atom
Electronic total energy = -7.25 eV per atom
DOS at the Fermi energy = 2.58 states/eV/cell

[2]
Below is a relaxed Ca3Au2 crystal, with properties calculated at the GGA-PBEsol level.

```
Ca3Au2
1.0
4.9948 0.0000 0.0000
-2.4974 4.3256 0.0000
0.0000 0.0000 6.2290
Ca Au
3 2
Direct
0.0000 0.0000 0.0000
0.3333 0.6667 0.3345
0.6667 0.3333 0.6655
0.3333 0.6667 0.8301
0.6667 0.3333 0.1699
```

Formation enthalpy at 0 K = -0.628 eV per atom
Electronic total energy = -3.48 eV per atom
DOS at the Fermi energy = 3.84 states/eV/cell